1.
Here is an optimized crystal structure of Ca2MgWN4 from Alexandria. Energies are from PBE.

spin magnetization = 0.0 μB/cell
E_form (uncorrected) = -0.997 eV per atom
space group = Pmn2_1 (31)

Cell lengths 7.116, 6.434, 5.499 Å; angles 90.00, 90.00, 90.00 degrees
Element x y z (fractional)
1 Ca 0.248 0.177 0.000
2 Ca 0.252 0.823 0.500
3 Ca 0.748 0.823 0.500
4 Ca 0.752 0.177 0.000
5 Mg 0.000 0.347 0.516
6 Mg 0.500 0.653 0.016
7 W 0.000 0.662 0.022
8 W 0.500 0.338 0.522
9 N 0.000 0.393 0.893
10 N 0.000 0.638 0.359
11 N 0.228 0.808 0.944
12 N 0.272 0.192 0.444
13 N 0.500 0.362 0.859
14 N 0.500 0.607 0.393
15 N 0.728 0.192 0.444
16 N 0.772 0.808 0.944

=====

2.
Here is an optimized crystal structure of CaY2MgN from Alexandria. Energies are from PBE.

spin magnetization = 0.0 μB/cell
E_form (uncorrected) = -0.615 eV per atom
space group = P4/mmm (123)

Cell lengths 4.842, 4.842, 5.130 Å; angles 90.00, 90.00, 90.00 degrees
Element x y z (fractional)
1 Ca 0.000 0.000 0.000
2 Y 0.000 0.500 0.500
3 Y 0.500 0.000 0.500
4 Mg 0.500 0.500 0.000
5 N 0.000 0.000 0.500

=====

3.
Here is an optimized crystal structure of CaMgZnN2 from Alexandria. Energies are from PBE.

spin magnetization = 0.0 μB/cell
E_form (uncorrected) = -0.435 eV per atom
energy above the most stable polymorph in this dataset = 0.00 eV per formula unit
space group = P2/c (13)

Cell lengths 5.697, 4.627, 5.858 Å; angles 90.00, 98.35, 90.00 degrees
Element x y z (fractional)
1 Ca 0.000 0.211 0.250
2 Ca 0.000 0.789 0.750
3 Mg 0.500 0.014 0.750
4 Mg 0.500 0.986 0.250
5 Zn 0.500 0.500 0.000
6 Zn 0.500 0.500 0.500
7 N 0.275 0.203 0.973
8 N 0.275 0.797 0.473
9 N 0.725 0.203 0.527
10 N 0.725 0.797 0.027

=====

4.
Here is an optimized crystal structure of CaMgZnN2 from Alexandria. Energies are from PBE.

spin magnetization = 1.6 μB/cell
E_form (uncorrected) = 1.291 eV per atom
energy above the most stable polymorph in this dataset = 8.63 eV per formula unit
space group = P4/mmm (123)

Cell lengths 4.160, 4.160, 5.010 Å; angles 90.00, 90.00, 90.00 degrees
Element x y z (fractional)
1 Ca 0.000 0.000 0.000
2 Mg 0.500 0.500 0.000
3 Zn 0.000 0.000 0.500
4 N 0.000 0.500 0.500
5 N 0.500 0.000 0.500

=====

5.
Here is an optimized crystal structure of CaMg2ZnN from Alexandria. Energies are from PBE.

spin magnetization = 0.0 μB/cell
E_form (uncorrected) = -0.365 eV per atom
space group = P4/mmm (123)

Cell lengths 4.340, 4.340, 4.872 Å; angles 90.00, 90.00, 90.00 degrees
Element x y z (fractional)
1 Ca 0.000 0.000 0.000
2 Mg 0.000 0.500 0.500
3 Mg 0.500 0.000 0.500
4 Zn 0.500 0.500 0.000
5 N 0.000 0.000 0.500

=====

6.
Here is an optimized crystal structure of Ca2MgZnN from Alexandria. Energies are from PBE.

spin magnetization = 0.0 μB/cell
E_form (uncorrected) = -0.454 eV per atom
space group = P4/mmm (123)

Cell lengths 4.944, 4.944, 4.262 Å; angles 90.00, 90.00, 90.00 degrees
Element x y z (fractional)
1 Ca 0.000 0.500 0.000
2 Ca 0.500 0.000 0.000
3 Mg 0.000 0.000 0.500
4 Zn 0.500 0.500 0.500
5 N 0.000 0.000 0.000

=====

7.
Here is an optimized crystal structure of CaMgZr2N from Alexandria. Energies are from PBE.

spin magnetization = 0.0 μB/cell
E_form (uncorrected) = -0.517 eV per atom
space group = P4/mmm (123)

Cell lengths 4.540, 4.540, 4.931 Å; angles 90.00, 90.00, 90.00 degrees
Element x y z (fractional)
1 Ca 0.000 0.000 0.000
2 Mg 0.500 0.500 0.000
3 Zr 0.000 0.500 0.500
4 Zr 0.500 0.000 0.500
5 N 0.000 0.000 0.500

=====

8.
Here is an optimized crystal structure of NaCa7Mg4 from Alexandria. Energies are from PBE.

spin magnetization = 0.0 μB/cell
ΔH_f (0 K) = 6.61 kJ/mol of atoms
space group = C2/m (12)

Cell lengths 8.596, 8.596, 10.275 Å; angles 119.99, 119.99, 41.28 degrees
Element x y z (fractional)
1 Na 0.000 0.000 0.000
2 Ca 0.082 0.082 0.424
3 Ca 0.196 0.196 0.872
4 Ca 0.260 0.260 0.299
5 Ca 0.500 0.500 0.000
6 Ca 0.740 0.740 0.701
7 Ca 0.804 0.804 0.128
8 Ca 0.918 0.918 0.576
9 Mg 0.323 0.323 0.653
10 Mg 0.468 0.468 0.315
11 Mg 0.532 0.532 0.685
12 Mg 0.677 0.677 0.347

=====

Q: What is the formula in the fourth record?
A: CaMgZnN2

=====

What did the eighth record say?
Here is an optimized crystal structure of NaCa7Mg4 from Alexandria. Energies are from PBE.

spin magnetization = 0.0 μB/cell
ΔH_f (0 K) = 6.61 kJ/mol of atoms
space group = C2/m (12)

Cell lengths 8.596, 8.596, 10.275 Å; angles 119.99, 119.99, 41.28 degrees
Element x y z (fractional)
1 Na 0.000 0.000 0.000
2 Ca 0.082 0.082 0.424
3 Ca 0.196 0.196 0.872
4 Ca 0.260 0.260 0.299
5 Ca 0.500 0.500 0.000
6 Ca 0.740 0.740 0.701
7 Ca 0.804 0.804 0.128
8 Ca 0.918 0.918 0.576
9 Mg 0.323 0.323 0.653
10 Mg 0.468 0.468 0.315
11 Mg 0.532 0.532 0.685
12 Mg 0.677 0.677 0.347

=====

Repeat the seventh record exactly.
Here is an optimized crystal structure of CaMgZr2N from Alexandria. Energies are from PBE.

spin magnetization = 0.0 μB/cell
E_form (uncorrected) = -0.517 eV per atom
space group = P4/mmm (123)

Cell lengths 4.540, 4.540, 4.931 Å; angles 90.00, 90.00, 90.00 degrees
Element x y z (fractional)
1 Ca 0.000 0.000 0.000
2 Mg 0.500 0.500 0.000
3 Zr 0.000 0.500 0.500
4 Zr 0.500 0.000 0.500
5 N 0.000 0.000 0.500